DFT (GGA+U) results for CsFeOsO6 after structural relaxation. Values from VASP.

Structure (Quantum ESPRESSO input):
```
&SYSTEM
  ibrav = 0, nat = 9, ntyp = 4
/
ATOMIC_SPECIES
Cs 132.91 Cs.upf
Fe 55.84 Fe.upf
Os 190.23 Os.upf
O 16.00 O.upf
CELL_PARAMETERS angstrom
-4.954 1.435 -1.265
-4.056 -3.276 1.015
-0.725 2.760 5.981
ATOMIC_POSITIONS angstrom
Cs -4.782 -0.516 6.996
Fe -6.369 0.152 2.823
Os -3.366 0.766 2.907
O -1.940 -0.330 2.373
O -2.512 2.327 3.504
O -4.979 1.393 3.634
O -2.968 -0.054 4.547
O -4.563 -0.434 2.102
O -3.235 1.696 1.282
```

Calculated values
VASP energy, eV for the cell shown: -58.32
Mass density, Mg/m³: 4.87
Symmetry: P312 (149)
Magnetization, Bohr magnetons per cell: 5.0